## LaDy6Tl3 (PBE)

Data for a relaxed structure of LaDy6Tl3.

The calculation puts the magnetization at 0.00 μB per formula unit. The value obtained for the total energy is -4.10 eV/atom. As for the space-group type: No. 36.

Lattice parameters (Å, degrees): 8.581 8.605 8.605 96.07 90.00 90.00
Element x y z (fractional)
La 0.501 0.685 0.315
La 0.001 0.315 0.685
Dy 0.306 0.574 0.937
Dy 0.161 0.391 0.264
Dy 0.806 0.937 0.574
Dy 0.306 0.063 0.426
Dy 0.577 0.234 0.766
Dy 0.661 0.609 0.736
Dy 0.161 0.736 0.609
Dy 0.697 0.971 0.029
Dy 0.661 0.264 0.391
Dy 0.806 0.426 0.063
Dy 0.197 0.029 0.971
Dy 0.077 0.766 0.234
Tl 0.459 0.277 0.103
Tl 0.959 0.103 0.277
Tl 0.459 0.897 0.723
Tl 0.959 0.723 0.897
Tl 0.859 0.573 0.427
Tl 0.359 0.427 0.573

## La4DyTl3 (PBE)

Data for a relaxed structure of La4DyTl3.

The calculation puts the magnetization at 1.12 μB per formula unit. The value obtained for the total energy is -4.19 eV/atom. As for the space-group type: No. 166.

Lattice parameters (Å, degrees): 5.623 5.623 10.013 73.69 73.69 60.00
Element x y z (fractional)
Dy 0.000 0.000 0.000
La 0.615 0.615 0.154
La 0.867 0.867 0.399
La 0.385 0.385 0.846
La 0.133 0.133 0.601
Tl 0.500 0.500 0.500
Tl 0.737 0.737 0.790
Tl 0.263 0.263 0.210

## La3Dy6Tl (PBE)

Data for a relaxed structure of La3Dy6Tl.

The calculation puts the magnetization at 0.00 μB per formula unit. The value obtained for the total energy is -4.40 eV/atom. As for the space-group type: No. 36.

Lattice parameters (Å, degrees): 6.401 10.291 10.291 99.34 90.00 90.00
Element x y z (fractional)
Dy 0.903 0.406 0.014
Dy 0.403 0.014 0.406
Dy 0.100 0.438 0.324
Dy 0.403 0.594 0.986
Dy 0.903 0.986 0.594
Dy 0.600 0.324 0.438
Dy 0.763 0.047 0.953
Dy 0.263 0.953 0.047
Dy 0.591 0.248 0.752
Dy 0.600 0.562 0.676
Dy 0.091 0.752 0.248
Dy 0.100 0.676 0.562
La 0.436 0.287 0.112
La 0.596 0.641 0.359
La 0.936 0.112 0.287
La 0.096 0.359 0.641
La 0.936 0.713 0.888
La 0.436 0.888 0.713
Tl 0.655 0.844 0.156
Tl 0.155 0.156 0.844

## La5DyTl4 (PBE)

Data for a relaxed structure of La5DyTl4.

The calculation puts the magnetization at 0.00 μB per formula unit. The value obtained for the total energy is -4.18 eV/atom. As for the space-group type: No. 123.

Lattice parameters (Å, degrees): 3.711 3.711 23.229 90.00 90.00 90.00
Element x y z (fractional)
Tl 0.000 0.000 0.793
Tl 0.000 0.000 0.402
Tl 0.000 0.000 0.598
Tl 0.000 0.000 0.207
Dy 0.000 0.000 0.000
La 0.500 0.500 0.695
La 0.500 0.500 0.305
La 0.500 0.500 0.889
La 0.500 0.500 0.500
La 0.500 0.500 0.111

## LaDy8Tl6 (PBE)

Data for a relaxed structure of LaDy8Tl6.

The calculation puts the magnetization at 0.00 μB per formula unit. The value obtained for the total energy is -3.86 eV/atom. As for the space-group type: No. 148.

Lattice parameters (Å, degrees): 9.186 9.186 8.378 56.76 56.76 60.00
Element x y z (fractional)
Tl 0.721 0.407 0.808
Tl 0.593 0.936 0.192
Tl 0.279 0.593 0.192
Tl 0.407 0.064 0.808
Tl 0.064 0.721 0.808
Tl 0.936 0.279 0.192
Dy 0.332 0.332 0.005
Dy 0.668 0.668 0.995
Dy 0.438 0.779 0.671
Dy 0.562 0.221 0.329
Dy 0.779 0.112 0.671
Dy 0.221 0.888 0.329
Dy 0.112 0.438 0.671
Dy 0.888 0.562 0.329
La 0.000 0.000 0.000

## La7DyTl4 (PBE)

Data for a relaxed structure of La7DyTl4.

The calculation puts the magnetization at 0.00 μB per formula unit. The value obtained for the total energy is -4.16 eV/atom. As for the space-group type: No. 12.

Lattice parameters (Å, degrees): 6.018 9.707 8.072 75.75 68.12 71.94
Element x y z (fractional)
Tl 0.559 0.247 0.636
Tl 0.688 0.666 0.958
Tl 0.441 0.753 0.364
Tl 0.312 0.334 0.042
La 0.720 0.345 0.215
La 0.059 0.619 0.264
La 0.201 0.116 0.481
La 0.500 0.000 0.000
La 0.280 0.655 0.785
La 0.799 0.884 0.519
La 0.941 0.381 0.736
Dy 0.000 0.000 0.000

## La3Dy2Tl7 (PBE)

Data for a relaxed structure of La3Dy2Tl7.

The calculation puts the magnetization at 0.00 μB per formula unit. The value obtained for the total energy is -3.55 eV/atom. As for the space-group type: No. 65.

Lattice parameters (Å, degrees): 5.769 5.564 12.293 103.08 90.00 90.00
Element x y z (fractional)
Tl 0.500 0.915 0.830
Tl 0.000 0.727 0.455
Tl 0.000 0.273 0.545
Tl 0.000 0.000 0.000
Tl 0.000 0.578 0.156
Tl 0.000 0.422 0.844
Tl 0.500 0.085 0.170
La 0.500 0.667 0.334
La 0.500 0.500 0.000
La 0.500 0.333 0.666
Dy 0.000 0.858 0.717
Dy 0.000 0.142 0.283

## La6DyTl2 (PBE)

Data for a relaxed structure of La6DyTl2.

The calculation puts the magnetization at 0.00 μB per formula unit. As for the space-group type: No. 15. The distance to the lowest polymorph of the same formula comes out at 10 meV/atom.

Lattice parameters (Å, degrees): 6.060 10.161 10.161 72.76 82.66 82.66
Element x y z (fractional)
La 0.197 0.008 0.222
La 0.045 0.558 0.330
La 0.162 0.360 0.118
La 0.662 0.118 0.360
La 0.455 0.670 0.442
La 0.838 0.640 0.882
La 0.803 0.992 0.778
La 0.303 0.778 0.992
La 0.955 0.442 0.670
La 0.338 0.882 0.640
La 0.697 0.222 0.008
La 0.545 0.330 0.558
Dy 0.250 0.149 0.851
Dy 0.750 0.851 0.149
Tl 0.106 0.206 0.483
Tl 0.606 0.483 0.206
Tl 0.394 0.517 0.794
Tl 0.894 0.794 0.517

## LaDy2TmTl2 (PBE)

Data for a relaxed structure of LaDy2TmTl2.

The calculation puts the magnetization at 0.00 μB per formula unit. The value obtained for the total energy is -4.15 eV/atom. As for the space-group type: No. 26.

Lattice parameters (Å, degrees): 5.172 6.839 10.097 90.00 90.00 90.00
Element x y z (fractional)
Dy 0.500 0.550 0.954
Dy 0.000 0.338 0.180
Dy 0.500 0.050 0.046
Dy 0.000 0.838 0.820
La 0.000 0.457 0.543
La 0.000 0.957 0.457
Tl 0.500 0.724 0.639
Tl 0.500 0.224 0.361
Tl 0.000 0.298 0.866
Tl 0.000 0.798 0.134
Tm 0.500 0.678 0.303
Tm 0.500 0.178 0.697

## LaDyTmTl (PBE)

Data for a relaxed structure of LaDyTmTl.

The calculation puts the magnetization at 1.07 μB per formula unit. As for the space-group type: No. 216. The distance to the lowest polymorph of the same formula comes out at 83 meV/atom.

Lattice parameters (Å, degrees): 5.477 5.477 5.480 119.98 119.98 90.00
Element x y z (fractional)
Tl 0.250 0.750 0.500
Dy 0.000 0.000 0.000
La 0.750 0.250 0.500
Tm 0.500 0.500 0.000

## LaDyTmTl (PBE)

Data for a relaxed structure of LaDyTmTl.

The calculation puts the magnetization at 1.05 μB per formula unit. As for the space-group type: No. 216. The distance to the lowest polymorph of the same formula comes out at 0 meV/atom.

Lattice parameters (Å, degrees): 5.549 5.549 5.549 60.00 60.00 60.00
Element x y z (fractional)
Tl 0.000 0.000 0.000
Tm 0.500 0.500 0.500
Dy 0.750 0.750 0.750
La 0.250 0.250 0.250

## La2DyTmTl2 (PBE)

Data for a relaxed structure of La2DyTmTl2.

The calculation puts the magnetization at 0.00 μB per formula unit. The value obtained for the total energy is -4.23 eV/atom. As for the space-group type: No. 26.

Lattice parameters (Å, degrees): 5.085 6.984 10.249 90.00 90.00 90.00
Element x y z (fractional)
La 0.000 0.811 0.823
La 0.000 0.311 0.177
La 0.500 0.588 0.938
La 0.500 0.088 0.062
Dy 0.000 0.960 0.458
Dy 0.000 0.460 0.542
Tl 0.500 0.723 0.608
Tl 0.500 0.223 0.392
Tl 0.000 0.296 0.848
Tl 0.000 0.796 0.152
Tm 0.500 0.667 0.307
Tm 0.500 0.167 0.693

## La2DyYTl2 (PBE)

Data for a relaxed structure of La2DyYTl2.

The calculation puts the magnetization at 0.00 μB per formula unit. The value obtained for the total energy is -4.57 eV/atom. As for the space-group type: No. 26.

Lattice parameters (Å, degrees): 5.111 6.980 10.312 90.00 90.00 90.00
Element x y z (fractional)
Dy 0.500 0.668 0.307
Dy 0.500 0.168 0.693
Tl 0.500 0.719 0.610
Tl 0.000 0.799 0.149
Tl 0.000 0.299 0.851
Tl 0.500 0.219 0.390
Y 0.000 0.957 0.458
Y 0.000 0.457 0.542
La 0.500 0.092 0.061
La 0.000 0.311 0.178
La 0.500 0.592 0.939
La 0.000 0.811 0.822

## LaDyYTl (PBE)

Data for a relaxed structure of LaDyYTl.

The calculation puts the magnetization at 1.29 μB per formula unit. The value obtained for the total energy is -4.67 eV/atom. As for the space-group type: No. 216.

Lattice parameters (Å, degrees): 5.576 5.576 5.576 60.00 60.00 60.00
Element x y z (fractional)
La 0.250 0.250 0.250
Dy 0.500 0.500 0.500
Y 0.750 0.750 0.750
Tl 0.000 0.000 0.000

## LaDyY2Tl2 (PBE)

Data for a relaxed structure of LaDyY2Tl2.

The calculation puts the magnetization at 0.00 μB per formula unit. The value obtained for the total energy is -4.82 eV/atom. As for the space-group type: No. 26.

Lattice parameters (Å, degrees): 5.180 6.864 10.161 90.00 90.00 90.00
Element x y z (fractional)
Dy 0.500 0.180 0.695
Dy 0.500 0.680 0.305
La 0.000 0.955 0.456
La 0.000 0.455 0.544
Y 0.000 0.338 0.181
Y 0.000 0.838 0.819
Y 0.500 0.552 0.954
Y 0.500 0.052 0.046
Tl 0.500 0.722 0.640
Tl 0.000 0.798 0.131
Tl 0.000 0.298 0.869
Tl 0.500 0.222 0.360

## LaDy2Tl2Zn2 (PBE)

Data for a relaxed structure of LaDy2Tl2Zn2.

The calculation puts the magnetization at 0.00 μB per formula unit. The value obtained for the total energy is -3.26 eV/atom. As for the space-group type: No. 166.

Lattice parameters (Å, degrees): 4.820 4.820 9.575 75.42 75.42 60.00
Element x y z (fractional)
Zn 0.571 0.571 0.286
Zn 0.429 0.429 0.714
Dy 0.868 0.868 0.396
Dy 0.132 0.132 0.604
Tl 0.737 0.737 0.788
Tl 0.263 0.263 0.212
La 0.000 0.000 0.000

## La3Dy5Tm2 (PBE)

Data for a relaxed structure of La3Dy5Tm2.

The calculation puts the magnetization at 0.00 μB per formula unit. The value obtained for the total energy is -4.48 eV/atom. As for the space-group type: No. 15.

Lattice parameters (Å, degrees): 9.406 9.364 11.192 124.26 124.34 69.88
Element x y z (fractional)
Dy 0.973 0.223 0.446
Dy 0.376 0.119 0.720
Dy 0.624 0.881 0.280
Dy 0.725 0.475 0.950
Dy 0.156 0.400 0.280
Dy 0.469 0.719 0.439
Dy 0.275 0.525 0.050
Dy 0.531 0.281 0.561
Dy 0.027 0.777 0.554
Dy 0.844 0.600 0.720
Tm 0.463 0.721 0.729
Tm 0.767 0.009 0.729
Tm 0.233 0.991 0.271
Tm 0.537 0.279 0.271
La 0.985 0.225 0.753
La 0.732 0.473 0.247
La 0.015 0.775 0.247
La 0.235 0.985 0.970
La 0.268 0.527 0.753
La 0.765 0.015 0.030

## La8Dy3Tm2 (PBE)

Data for a relaxed structure of La8Dy3Tm2.

The calculation puts the magnetization at 0.00 μB per formula unit. As for the space-group type: No. 12. The distance to the lowest polymorph of the same formula comes out at 0 meV/atom.

Lattice parameters (Å, degrees): 6.141 11.806 9.014 130.91 73.14 90.00
Element x y z (fractional)
La 0.649 0.600 0.677
La 0.888 0.139 0.278
La 0.351 0.400 0.323
La 0.265 0.586 0.172
La 0.735 0.414 0.828
La 0.649 0.077 0.677
La 0.351 0.923 0.323
La 0.112 0.861 0.722
Dy 0.000 0.275 0.000
Dy 0.500 0.000 0.000
Dy 0.000 0.725 0.000
Tm 0.318 0.314 0.627
Tm 0.682 0.686 0.373

## La2DyTm4 (PBE)

Data for a relaxed structure of La2DyTm4.

The calculation puts the magnetization at 0.71 μB per formula unit. As for the space-group type: No. 139. The distance to the lowest polymorph of the same formula comes out at 553 meV/atom.

Lattice parameters (Å, degrees): 5.619 5.619 9.268 107.65 107.65 90.00
Element x y z (fractional)
Tm 0.606 0.606 0.212
Tm 0.394 0.394 0.788
Tm 0.000 0.500 0.000
Tm 0.500 0.000 0.000
La 0.819 0.819 0.638
La 0.181 0.181 0.362
Dy 0.000 0.000 0.000

## La4Dy2Tm (PBE)

Data for a relaxed structure of La4Dy2Tm.

The calculation puts the magnetization at 0.00 μB per formula unit. As for the space-group type: No. 11. The distance to the lowest polymorph of the same formula comes out at 52 meV/atom.

Lattice parameters (Å, degrees): 6.295 6.751 11.716 90.00 104.29 90.00
Element x y z (fractional)
La 0.357 0.013 0.717
La 0.151 0.750 0.452
La 0.047 0.750 0.866
La 0.643 0.513 0.283
La 0.357 0.487 0.717
La 0.849 0.250 0.548
La 0.953 0.250 0.134
La 0.643 0.987 0.283
Tm 0.850 0.250 0.838
Tm 0.150 0.750 0.162
Dy 0.612 0.750 0.995
Dy 0.291 0.250 0.422
Dy 0.388 0.250 0.005
Dy 0.709 0.750 0.578